4
Lattice="-3.7383 0.8432 2.7116 -1.4817 4.4068 0.6507 -4.0297 1.4316 -1.9368" Properties=species:S:1:pos:R:3 comment="Cr2IO PBE with a Hubbard U relaxed" total_energy_ev_per_atom=-5.21 magnetic_moment_mub_per_cell=9.000 spacegroup="Fm-3m (225)" dos_at_fermi_per_ev_fu=2.3 relative_energy_ev_per_atom=0.883 pbc="T T T"
I -4.6249 3.3408 0.7128
O 0.0000 0.0000 0.0000
Cr -6.9373 5.0112 1.0692
Cr -2.3124 1.6704 0.3564